Density functional theory data (PBE) for YTm3Th after structural relaxation.

a b c (Å): 5.2743 6.5356 12.0433
angles (deg): 79.94 64.34 66.20
With the nearest neighbours (Å) after each atom.
Fractional coordinates of all 10 atoms:
Th 0.8575 0.2851 0.0000  8 Tm 3.31-3.63, 3 Th 3.41-3.68
Th 0.1425 0.7149 0.0000  8 Tm 3.31-3.63, 3 Th 3.41-3.68
Tm 0.7427 0.0000 0.2611  2 Y 3.22, 4 Tm 3.30, 2 Th 3.31
Tm 0.1101 0.3269 0.2291  4 Tm 3.30-3.35, 3 Th 3.40-3.63, 1 Y 3.62
Tm 0.8899 0.6731 0.7709  4 Tm 3.30-3.35, 3 Th 3.40-3.63, 1 Y 3.62
Tm 0.4370 0.6731 0.2291  4 Tm 3.30-3.35, 3 Th 3.40-3.63, 1 Y 3.62
Tm 0.2573 0.0000 0.7389  2 Y 3.22, 4 Tm 3.30, 2 Th 3.31
Tm 0.5630 0.3269 0.7709  4 Tm 3.30-3.35, 3 Th 3.40-3.63, 1 Y 3.62
Y 0.3406 0.3189 0.5000  2 Tm 3.22, 2 Y 3.41
Y 0.6594 0.6811 0.5000  2 Tm 3.22, 2 Y 3.41

Total magnetization (μB/f.u.): 0.000
E_form (eV/f.u.): 2.02
E_tot (eV/atom): -5.0558
E above lowest polymorph (eV/atom): 0.257
Fermi-level density of states (states/eV per cell): 13.9
SG: C2/m (12)